(1)
Material: CoClF2
Method: DFT, SCAN
State: PBEsol geometry

It has space group Fm-3m (No. 225), with a = 5.720 Å, b = 5.720 Å, c = 5.720 Å, α = 90.00°, β = 90.00° and γ = 90.00°. Symmetry generates all atoms from Co at (0.000, 0.000, 0.000), Cl at (0.000, 0.000, 0.500) and F at (0.250, 0.250, 0.250).

The calculation puts the uncorrected energy at -8.573 eV per atom. The distance to the lowest polymorph of the same formula is 770 meV per atom.

(2)
Material: CoCl3F
Method: DFT, SCAN
State: PBEsol geometry

It has space group Pm-3m (No. 221), with a = 4.526 Å, b = 4.526 Å, c = 4.526 Å, α = 90.00°, β = 90.00° and γ = 90.00°. Symmetry generates all atoms from Co at (0.000, 0.000, 0.000), Cl at (0.000, 0.500, 0.500) and F at (0.500, 0.500, 0.500).

The calculation puts the uncorrected energy at -8.391 eV per atom.

(3)
Material: CoClF2
Method: DFT, SCAN
State: PBEsol geometry

It has space group Fd-3m (No. 227, origin choice 2), with a = 8.466 Å, b = 8.466 Å, c = 8.466 Å, α = 90.00°, β = 90.00° and γ = 90.00°. Symmetry generates all atoms from Co at (0.125, 0.125, 0.125), Cl at (0.125, 0.125, 0.625) and F at (0.000, 0.000, 0.000).

The calculation puts the uncorrected energy at -9.344 eV per atom. The distance to the lowest polymorph of the same formula is 0 meV per atom.

Fermi-level density of states, respectively: 0.608 0.933 1.428 states/eV/atom.